[1]
Entry from Alexandria via LeMat-Bulk: a relaxed La3HoRu2 crystal (PBE).

a b c (Å): 4.8359 4.6887 7.8872
angles (deg): 107.34 107.85 90.00
Last column: nearest neighbours and their distance in Å.
Atoms (fractional coordinates):
La (0.5000, 0.5000, 0.0000)  4 Ru 2.97-2.98
La (0.8045, 0.3049, 0.6091)  1 Ru 2.51
La (0.1955, 0.6951, 0.3909)  1 Ru 2.51
Ho (0.0000, 0.0000, 0.0000)  4 Ru 3.03, 4 La 3.37
Ru (0.3717, 0.8718, 0.7433)  1 La 2.51
Ru (0.6283, 0.1282, 0.2567)  1 La 2.51

Calculated values
- M_tot (μB/atom) = 0.00
- calculated formation energy (meV per atom) = -207
- ρ (g cm⁻³) = 8.05
- calculated volume (Å³/cell) = 161.7
- symmetry = No. 12



[2]
Entry from Alexandria via LeMat-Bulk: a relaxed Ba3IrBr crystal (PBE).

a b c (Å): 6.1361 6.1361 6.1361
angles (deg): 90.00 90.00 90.00
Last column: nearest neighbours and their distance in Å.
Atoms (fractional coordinates):
Ir (0.0000, 0.0000, 0.0000)  6 Ba 3.07
Ba (0.0000, 0.5000, 0.0000)  2 Ir 3.07
Ba (0.0000, 0.0000, 0.5000)  2 Ir 3.07
Ba (0.5000, 0.0000, 0.0000)  2 Ir 3.07
Br (0.5000, 0.5000, 0.5000)  12 Ba 4.34

Calculated values
- M_tot (μB/atom) = 0.00
- energy relative to the lowest polymorph listed for this composition (meV/atom) = 222
- formation energy from raw total energies (meV/atom) = -494
- ρ (g cm⁻³) = 4.92
- calculated volume (Å³/cell) = 231.0
- symmetry = No. 221



ρ of number 1 (La3HoRu2)? 8.05 g cm⁻³